The following is a DFT calculation (PBE) of a geometry-optimized YBeSb2 structure.

Results
The calculation puts the total moment at 0.00 μB per formula unit. The calculation puts the calculated total energy at -0.170 hartree per atom. As for the crystal system: tetragonal.

Cell lengths 3.2586, 3.2586, 9.4012 Å; angles 90.00, 90.00, 90.00 degrees
Closest atoms and distances in Å follow each position.
Fractional positions:
Y 0.0000 0.0000 0.0000  4 Be 2.97, 4 Y 3.26
Be 0.5000 0.5000 0.1997  4 Sb 2.73, 4 Y 2.97
Sb 0.0000 0.0000 0.3548  4 Be 2.73
Sb 0.5000 0.5000 0.7419  4 Sb 3.26, 4 Y 3.35

***

The following is a DFT calculation (PBE) of a geometry-optimized Li2UGaO6 structure.

Results
The calculation puts the total moment at 0.00 μB per formula unit. The calculation puts the calculated total energy at -0.258 hartree per atom. As for the crystal system: trigonal.

Cell lengths 5.5945, 5.5945, 5.5945 Å; angles 55.85, 55.85, 55.85 degrees
Closest atoms and distances in Å follow each position.
Fractional positions:
Li 0.0000 0.0000 0.0000  3 O 2.04
Li 0.4982 0.4982 0.4982  3 O 2.03
U 0.7122 0.7122 0.7122  6 O 2.06-2.07
Ga 0.2147 0.2147 0.2147  6 O 1.98-2.03
O 0.0959 0.4407 0.8381  1 Li 2.03, 1 Ga 2.03, 1 U 2.06
O 0.3282 0.9489 0.5882  1 Ga 1.98, 1 Li 2.04, 1 U 2.07
O 0.4407 0.8381 0.0959  1 Li 2.03, 1 Ga 2.03, 1 U 2.06
O 0.5882 0.3282 0.9489  1 Ga 1.98, 1 Li 2.04, 1 U 2.07
O 0.8381 0.0959 0.4407  1 Li 2.03, 1 Ga 2.03, 1 U 2.06
O 0.9489 0.5882 0.3282  1 Ga 1.98, 1 Li 2.04, 1 U 2.07